Entry 1:
The following is a DFT calculation (PBE) of a relaxed ScTa3Hg crystal.

Cell and atoms, written as POSCAR:
```
ScTa3Hg
1.0
5.048 0.000 0.000
0.000 5.048 0.000
0.000 0.000 5.048
Sc Ta Hg
1 3 1
direct
0.000 0.000 0.000 Sc
0.000 0.500 0.500 Ta
0.500 0.000 0.500 Ta
0.500 0.500 0.000 Ta
0.500 0.500 0.500 Hg
```

Properties
Its excess energy over the best structure of this formula in the dataset is 0.29 eV/f.u. The calculated total energy is -0.47976 Ry/atom. The formation energy is 1.9108 eV per atom. The density of states at the Fermi level is 1.45 states/eV per atom.

---

Entry 2:
The following is a DFT calculation (PBE) of a relaxed Tb3ScHg2 crystal.

Cell and atoms, written as POSCAR:
```
Tb3ScHg2
1.0
-3.342 7.503 3.320
3.342 -7.503 3.320
3.342 7.503 -3.320
Tb Sc Hg
6 2 4
direct
0.180 0.740 0.921 Tb
0.250 0.250 0.000 Tb
0.320 0.240 0.560 Tb
0.680 0.760 0.440 Tb
0.750 0.750 0.000 Tb
0.820 0.260 0.079 Tb
0.250 0.750 0.500 Sc
0.750 0.250 0.500 Sc
0.125 0.263 0.387 Hg
0.375 0.763 0.138 Hg
0.625 0.237 0.862 Hg
0.875 0.737 0.613 Hg
```

Properties
Its excess energy over the best structure of this formula in the dataset is 0.29 eV/f.u. The calculated total energy is -0.27625 Ry/atom. The formation energy is -0.2876 eV per atom. The density of states at the Fermi level is 0.63 states/eV per atom.

---

Entry 3:
The following is a DFT calculation (PBE) of a relaxed TbSc5Hg3 crystal.

Cell and atoms, written as POSCAR:
```
TbSc5Hg3
1.0
8.620 0.000 0.000
-4.310 7.465 0.000
0.000 0.000 6.532
Tb Sc Hg
2 10 6
direct
0.000 0.000 0.000 Tb
0.000 0.000 0.500 Tb
0.000 0.340 0.250 Sc
0.000 0.660 0.750 Sc
0.333 0.667 0.000 Sc
0.333 0.667 0.500 Sc
0.340 0.000 0.250 Sc
0.340 0.340 0.750 Sc
0.660 0.000 0.750 Sc
0.660 0.660 0.250 Sc
0.667 0.333 0.000 Sc
0.667 0.333 0.500 Sc
0.000 0.333 0.750 Hg
0.000 0.667 0.250 Hg
0.333 0.000 0.750 Hg
0.333 0.333 0.250 Hg
0.667 0.000 0.250 Hg
0.667 0.667 0.750 Hg
```

Properties
The calculated total energy is -0.32643 Ry/atom. The formation energy is -0.3087 eV per atom. The density of states at the Fermi level is 0.71 states/eV per atom.

---

Entry 4:
The following is a DFT calculation (PBE) of a relaxed Tb3ScHg6 crystal.

Cell and atoms, written as POSCAR:
```
Tb3ScHg6
1.0
9.048 0.000 0.000
0.000 5.122 0.000
-3.354 0.000 10.568
Tb Sc Hg
6 2 12
direct
0.019 0.250 0.387 Tb
0.149 0.750 0.214 Tb
0.274 0.250 0.992 Tb
0.726 0.750 0.008 Tb
0.851 0.250 0.786 Tb
0.981 0.750 0.613 Tb
0.443 0.250 0.594 Sc
0.557 0.750 0.406 Sc
0.030 0.750 0.914 Hg
0.168 0.250 0.694 Hg
0.268 0.750 0.506 Hg
0.350 0.750 0.824 Hg
0.357 0.250 0.311 Hg
0.443 0.750 0.127 Hg
0.557 0.250 0.873 Hg
0.643 0.750 0.689 Hg
0.650 0.250 0.176 Hg
0.732 0.250 0.494 Hg
0.832 0.750 0.306 Hg
0.970 0.250 0.086 Hg
```

Properties
The calculated total energy is -0.19164 Ry/atom. The formation energy is -0.4041 eV per atom. The density of states at the Fermi level is 0.72 states/eV per atom.

---

Entry 5:
The following is a DFT calculation (PBE) of a relaxed Tb5ScHg6 crystal.

Cell and atoms, written as POSCAR:
```
Tb5ScHg6
1.0
8.243 -3.736 0.000
8.243 3.736 0.000
-1.625 0.000 4.945
Tb Sc Hg
5 1 6
direct
0.000 0.000 0.000 Tb
0.165 0.165 0.665 Tb
0.331 0.331 0.331 Tb
0.669 0.669 0.669 Tb
0.835 0.835 0.335 Tb
0.500 0.500 0.000 Sc
0.097 0.579 0.838 Hg
0.267 0.733 0.500 Hg
0.421 0.903 0.162 Hg
0.579 0.097 0.838 Hg
0.733 0.267 0.500 Hg
0.903 0.421 0.162 Hg
```

Properties
The calculated total energy is -0.22582 Ry/atom. The formation energy is -0.4647 eV per atom. The density of states at the Fermi level is 1.12 states/eV per atom.

---

Entry 6:
The following is a DFT calculation (PBE) of a relaxed TbSc7Hg4 crystal.

Cell and atoms, written as POSCAR:
```
TbSc7Hg4
1.0
6.954 -2.656 0.000
6.954 2.656 0.000
-4.868 0.000 7.792
Tb Sc Hg
1 7 4
direct
0.000 0.000 0.000 Tb
0.068 0.068 0.413 Sc
0.210 0.210 0.883 Sc
0.265 0.265 0.314 Sc
0.500 0.500 0.000 Sc
0.735 0.735 0.686 Sc
0.790 0.790 0.117 Sc
0.932 0.932 0.587 Sc
0.313 0.313 0.664 Hg
0.448 0.448 0.273 Hg
0.552 0.552 0.727 Hg
0.687 0.687 0.336 Hg
```

Properties
The calculated total energy is -0.31215 Ry/atom. The formation energy is -0.0672 eV per atom. The density of states at the Fermi level is 1.17 states/eV per atom.